! Ti2RhAu2 | Alexandria | PBE | optimized geometry; values from VASP
! theoretical density: 11.53 Mg/m³
! uncorrected energy: -30.99 eV per formula unit
! formation energy from the elements: -260 meV per atom
&SYSTEM
  ibrav = 0, nat = 10, ntyp = 3
/
ATOMIC_SPECIES
Ti 47.87 Ti.upf
Rh 102.91 Rh.upf
Au 196.97 Au.upf
CELL_PARAMETERS angstrom
7.234 0.000 0.000
0.000 7.234 0.000
0.000 0.000 3.262
ATOMIC_POSITIONS angstrom
Ti 1.245 2.372 0.000
Ti 2.372 5.989 0.000
Ti 4.862 1.245 0.000
Ti 5.989 4.862 0.000
Rh 0.000 0.000 1.631
Rh 3.617 3.617 1.631
Au 0.960 4.577 1.631
Au 2.657 0.960 1.631
Au 4.577 6.274 1.631
Au 6.274 2.657 1.631